Compound: La3BiRu
Source: Alexandria via LeMat-Bulk
Functional: PBE
Structure: optimized geometry

extended XYZ file:
```
10
Lattice="4.639 0.000 6.730 -2.320 4.018 6.730 -2.320 -4.018 6.730" Properties=species:S:1:pos:R:3 pbc="T T T"
La 2.426 1.278 11.778
La 2.320 -1.462 8.413
La -0.106 -2.740 11.778
La 0.106 2.740 8.413
La -2.320 1.462 11.778
La -2.426 -1.278 8.413
Bi 0.000 0.000 10.095
Bi 0.000 0.000 0.000
Ru 0.000 0.000 15.143
Ru 0.000 0.000 5.048
```

Properties
energy of formation from the pure elements = -5.43 kcal/mol of atoms
crystal system = trigonal
magnetization = 0.0000 μB/atom
energy = -5.82 eV/atom
density = 6.4 g/cm3

***

Compound: LaSnBi2Ru
Source: Alexandria via LeMat-Bulk
Functional: PBE
Structure: optimized geometry

extended XYZ file:
```
5
Lattice="5.690 0.000 0.000 0.000 5.950 0.000 0.000 0.000 5.690" Properties=species:S:1:pos:R:3 pbc="T T T"
Bi 2.845 0.000 0.000
Bi 0.000 0.000 2.845
Sn 0.000 0.000 0.000
La 0.000 2.975 0.000
Ru 2.845 2.975 2.845
```

Properties
energy of formation from the pure elements = 26.19 kcal/mol of atoms
crystal system = tetragonal
magnetization = 0.5255 μB/atom
energy = -4.06 eV/atom
density = 6.7 g/cm3

***

Compound: La2VBiRu
Source: Alexandria via LeMat-Bulk
Functional: PBE
Structure: optimized geometry

extended XYZ file:
```
5
Lattice="-4.367 -2.585 -2.356 2.697 -3.559 -1.094 -1.209 -2.421 4.896" Properties=species:S:1:pos:R:3 pbc="T T T"
Bi -1.439 -4.282 0.723
La -2.183 -1.292 -1.178
La -0.604 -1.211 2.448
V 1.348 -1.779 -0.547
Ru 0.000 0.000 0.000
```

Properties
energy of formation from the pure elements = -1.24 kcal/mol of atoms
crystal system = tetragonal
magnetization = 0.0000 μB/atom
energy = -6.48 eV/atom
density = 7.4 g/cm3

***

Compound: La2YBiRu
Source: Alexandria via LeMat-Bulk
Functional: PBE
Structure: optimized geometry

extended XYZ file:
```
5
Lattice="5.401 0.000 0.000 0.000 5.401 0.000 0.000 0.000 5.487" Properties=species:S:1:pos:R:3 pbc="T T T"
Ru 0.000 0.000 0.000
La 0.000 2.700 0.000
La 2.700 0.000 0.000
Y 0.000 0.000 2.744
Bi 2.700 2.700 2.744
```

Properties
energy of formation from the pure elements = -11.01 kcal/mol of atoms
crystal system = tetragonal
magnetization = 0.0000 μB/atom
energy = -6.37 eV/atom
density = 7.0 g/cm3

***

Compound: LaZr2BiRu
Source: Alexandria via LeMat-Bulk
Functional: PBE
Structure: optimized geometry

extended XYZ file:
```
5
Lattice="5.094 0.000 0.000 0.000 5.809 0.000 0.000 0.000 5.094" Properties=species:S:1:pos:R:3 pbc="T T T"
Ru 2.547 2.905 2.547
La 0.000 0.000 0.000
Zr 0.000 0.000 2.547
Zr 2.547 0.000 0.000
Bi 0.000 2.905 0.000
```

Properties
energy of formation from the pure elements = 43.55 kcal/mol of atoms
crystal system = tetragonal
magnetization = 0.0022 μB/atom
energy = -5.15 eV/atom
density = 7.0 g/cm3

***

Compound: LaBiS
Source: Alexandria via LeMat-Bulk
Functional: PBE
Structure: optimized geometry

extended XYZ file:
```
6
Lattice="4.215 0.000 -0.879 -0.183 4.211 -0.879 -0.183 -0.191 9.667" Properties=species:S:1:pos:R:3 pbc="T T T"
La 2.597 2.712 1.906
La 1.252 1.307 6.003
S 3.167 3.308 4.644
S 0.681 0.711 3.265
Bi 2.107 0.000 -0.439
Bi -0.092 2.105 -0.439
```

Properties
crystal system = tetragonal
magnetization = 0.0000 μB/atom
energy = -5.77 eV/atom
ΔE_f (raw) = -1455 meV per atom
density = 7.4 g/cm3

***

Compound: La5BiS4
Source: Alexandria via LeMat-Bulk
Functional: PBE
Structure: optimized geometry

extended XYZ file:
```
10
Lattice="-2.492 -0.667 3.394 4.370 -2.519 5.391 1.772 7.656 5.484" Properties=species:S:1:pos:R:3 pbc="T T T"
La 2.060 5.687 7.985
La 1.590 -1.217 6.283
La 4.643 2.807 9.316
La 3.071 2.569 5.437
La -0.993 1.663 4.953
S 1.534 0.493 3.901
S 0.502 3.696 6.450
S 3.147 0.774 7.818
S 2.115 3.978 10.367
Bi 0.000 0.000 0.000
```

Properties
crystal system = monoclinic
magnetization = 0.0000 μB/atom
energy = -6.39 eV/atom
ΔE_f (raw) = -1891 meV per atom
density = 6.2 g/cm3

***

Compound: La3BiS6
Source: Alexandria via LeMat-Bulk
Functional: PBE
Structure: optimized geometry

extended XYZ file:
```
20
Lattice="8.425 -0.008 -0.008 -0.191 8.423 -0.008 -0.191 -0.195 8.421" Properties=species:S:1:pos:R:3 pbc="T T T"
S 3.276 1.441 4.498
S 0.474 7.663 5.776
S 1.369 4.423 3.405
S 4.393 3.372 1.540
S 3.652 4.849 6.865
S 4.768 6.780 3.907
S 6.675 3.797 5.000
S 7.651 5.760 0.768
S 7.571 0.557 2.629
S 2.451 7.626 0.616
S 0.393 2.461 7.637
S 5.593 0.595 7.790
La 1.980 4.738 0.615
La 0.466 1.990 4.750
La 3.350 7.652 6.310
La 7.578 6.230 3.655
La 6.064 3.483 7.790
La 4.694 0.568 2.095
Bi 0.000 0.000 0.000
Bi 4.022 4.110 4.203
```

Properties
crystal system = trigonal
magnetization = 0.0000 μB/atom
energy = -6.06 eV/atom
ΔE_f (raw) = -1717 meV per atom
density = 4.5 g/cm3

***

Compound: La3BiS
Source: Alexandria via LeMat-Bulk
Functional: PBE
Structure: optimized geometry

extended XYZ file:
```
5
Lattice="5.480 0.000 0.000 0.000 5.480 0.000 0.000 0.000 5.480" Properties=species:S:1:pos:R:3 pbc="T T T"
S 0.000 0.000 0.000
Bi 2.740 2.740 2.740
La 2.740 0.000 0.000
La 0.000 0.000 2.740
La 0.000 2.740 0.000
```

Properties
crystal system = cubic
magnetization = 0.0000 μB/atom
energy = -5.61 eV/atom
ΔE_f (raw) = -1054 meV per atom
density = 6.6 g/cm3

***

Compound: La2BiS
Source: Alexandria via LeMat-Bulk
Functional: PBE
Structure: optimized geometry

extended XYZ file:
```
4
Lattice="-3.827 0.929 -2.018 -3.542 -2.562 0.686 -4.402 3.651 5.177" Properties=species:S:1:pos:R:3 pbc="T T T"
S 0.000 0.000 0.000
Bi -5.886 1.009 1.922
La -8.884 1.633 3.044
La -2.887 0.385 0.801
```

Properties
crystal system = trigonal
magnetization = 0.0000 μB/atom
energy = -6.01 eV/atom
ΔE_f (raw) = -1547 meV per atom
density = 7.0 g/cm3

***

Compound: LaBiS3
Source: Alexandria via LeMat-Bulk
Functional: PBE
Structure: optimized geometry

extended XYZ file:
```
20
Lattice="7.256 0.000 0.000 0.000 7.425 -0.590 0.000 0.252 10.444" Properties=species:S:1:pos:R:3 pbc="T T T"
Bi 2.121 6.935 5.832
Bi 5.749 0.868 9.244
Bi 1.507 6.809 0.610
Bi 5.136 0.742 4.022
S 7.032 5.724 9.460
S 0.050 6.091 2.624
S 3.679 1.461 2.008
S 3.404 2.079 5.617
S 0.865 4.623 6.116
S 4.493 3.180 8.960
S 3.578 6.216 7.846
S 3.852 5.598 4.237
S 7.206 1.587 7.230
S 2.763 4.497 0.894
S 6.392 3.054 3.738
S 0.224 1.953 0.394
La 1.935 3.561 3.511
La 5.322 4.117 6.343
La 5.563 3.991 1.121
La 1.694 3.686 8.733
```

Properties
crystal system = monoclinic
magnetization = 0.0000 μB/atom
energy = -5.45 eV/atom
ΔE_f (raw) = -1214 meV per atom
density = 5.2 g/cm3

***

Compound: LaBiS3
Source: Alexandria via LeMat-Bulk
Functional: PBE
Structure: optimized geometry

extended XYZ file:
```
5
Lattice="-2.106 2.136 4.247 -4.402 0.877 -2.625 -1.795 -4.659 1.454" Properties=species:S:1:pos:R:3 pbc="T T T"
S -0.897 -2.329 0.727
S -2.201 0.439 -1.312
S -1.053 1.068 2.124
Bi 0.000 0.000 0.000
La -4.152 -0.823 1.538
```

Properties
crystal system = cubic
magnetization = 0.0000 μB/atom
energy = -4.88 eV/atom
ΔE_f (raw) = -642 meV per atom
density = 5.2 g/cm3

***

Compound: La3BiS2
Source: Alexandria via LeMat-Bulk
Functional: PBE
Structure: optimized geometry

extended XYZ file:
```
12
Lattice="4.588 0.000 0.000 -2.294 7.260 0.000 0.000 0.000 10.889" Properties=species:S:1:pos:R:3 pbc="T T T"
Bi 0.000 3.582 2.722
Bi 2.294 3.677 8.167
S 0.000 6.964 8.167
S 2.294 0.295 2.722
S 0.000 0.000 0.000
S 0.000 0.000 5.445
La 0.000 5.222 10.285
La 2.294 2.038 4.840
La 0.000 5.222 6.049
La 0.000 1.196 8.167
La 2.294 6.063 2.722
La 2.294 2.038 0.604
```

Properties
crystal system = orthorhombic
magnetization = 0.2196 μB/atom
energy = -6.03 eV/atom
ΔE_f (raw) = -1540 meV per atom
density = 6.3 g/cm3

***

Compound: LaBiS3
Source: Alexandria via LeMat-Bulk
Functional: PBE
Structure: optimized geometry

extended XYZ file:
```
5
Lattice="5.433 0.000 0.000 0.000 5.433 0.000 0.000 0.000 5.433" Properties=species:S:1:pos:R:3 pbc="T T T"
S 2.717 0.000 0.000
S 0.000 2.717 0.000
S 0.000 0.000 2.717
La 0.000 0.000 0.000
Bi 2.717 2.717 2.717
```

Properties
crystal system = cubic
magnetization = 0.0000 μB/atom
energy = -4.54 eV/atom
ΔE_f (raw) = -301 meV per atom
density = 4.6 g/cm3

***

Compound: LaBi3S6
Source: Alexandria via LeMat-Bulk
Functional: PBE
Structure: optimized geometry

extended XYZ file:
```
20
Lattice="4.069 0.000 0.000 0.000 11.746 0.250 0.000 -3.680 11.152" Properties=species:S:1:pos:R:3 pbc="T T T"
S 1.017 3.582 10.368
S 3.052 7.875 3.271
S 1.017 0.191 8.131
S 1.017 -2.460 9.953
S 3.052 10.526 1.450
S 3.052 6.706 8.560
S 3.052 3.201 6.974
S 3.052 4.484 1.035
S 1.017 8.489 6.209
S 3.052 -0.424 5.193
S 1.017 4.864 4.429
S 1.017 1.359 2.843
Bi 1.017 6.604 10.306
Bi 3.052 2.043 9.427
Bi 1.017 1.664 5.898
Bi 3.052 1.461 1.097
Bi 1.017 6.022 1.976
Bi 3.052 6.402 5.504
La 1.017 10.125 3.696
La 3.052 -2.060 7.706
```

Properties
crystal system = monoclinic
magnetization = 0.0000 μB/atom
energy = -4.96 eV/atom
ΔE_f (raw) = -827 meV per atom
density = 5.9 g/cm3

***

Compound: La2BiS4
Source: Alexandria via LeMat-Bulk
Functional: PBE
Structure: optimized geometry

extended XYZ file:
```
7
Lattice="-0.163 -3.262 -4.176 4.506 -2.284 1.608 -1.666 -7.588 2.627" Properties=species:S:1:pos:R:3 pbc="T T T"
S 2.253 -1.142 0.804
S 2.889 -7.370 -1.087
S -0.082 -1.631 -2.088
S -0.213 -5.765 1.146
La 1.191 -4.003 -0.285
La 1.486 -9.132 0.344
Bi 0.000 0.000 0.000
```

Properties
crystal system = tetragonal
magnetization = 0.0950 μB/atom
energy = -5.44 eV/atom
ΔE_f (raw) = -1122 meV per atom
density = 5.0 g/cm3

***

Compound: La2BiS
Source: Alexandria via LeMat-Bulk
Functional: PBE
Structure: optimized geometry

extended XYZ file:
```
4
Lattice="0.278 -5.433 -0.077 -4.456 -2.966 0.975 -2.350 -2.787 -4.039" Properties=species:S:1:pos:R:3 pbc="T T T"
Bi -3.265 -5.593 -1.571
S 0.000 0.000 0.000
La -4.897 -8.389 -2.356
La -1.632 -2.796 -0.785
```

Properties
crystal system = cubic
magnetization = 0.0001 μB/atom
energy = -5.68 eV/atom
ΔE_f (raw) = -1217 meV per atom
density = 7.6 g/cm3

***

Compound: La2BiS
Source: Alexandria via LeMat-Bulk
Functional: PBE
Structure: optimized geometry

extended XYZ file:
```
4
Lattice="-2.882 2.760 1.777 -3.990 0.403 -1.730 -4.800 -4.464 4.518" Properties=species:S:1:pos:R:3 pbc="T T T"
La -4.261 -3.279 3.551
La -2.840 -0.154 1.002
S -9.365 -2.318 4.519
Bi -5.843 -0.664 2.294
```

Properties
crystal system = trigonal
magnetization = 0.0501 μB/atom
energy = -5.93 eV/atom
ΔE_f (raw) = -1466 meV per atom
density = 6.9 g/cm3

***

Compound: LaBiS3
Source: Alexandria via LeMat-Bulk
Functional: PBE
Structure: optimized geometry

extended XYZ file:
```
10
Lattice="-3.734 -1.195 -1.114 -1.031 -3.474 7.186 -3.027 7.051 2.582" Properties=species:S:1:pos:R:3 pbc="T T T"
S -3.899 1.001 0.813
S -6.082 4.862 3.990
S -3.893 1.381 7.841
S -3.155 2.641 4.014
S -4.637 -0.260 4.641
S -1.709 -2.480 4.665
Bi -2.813 -0.896 6.664
Bi -4.979 3.278 1.991
La -1.982 -0.070 2.993
La -5.810 2.452 5.662
```

Properties
crystal system = monoclinic
magnetization = 0.0000 μB/atom
energy = -5.49 eV/atom
ΔE_f (raw) = -1255 meV per atom
density = 5.6 g/cm3

***

Compound: La2BiS
Source: Alexandria via LeMat-Bulk
Functional: PBE
Structure: optimized geometry

extended XYZ file:
```
8
Lattice="6.874 0.000 0.000 0.000 6.874 0.000 3.437 3.437 7.023" Properties=species:S:1:pos:R:3 pbc="T T T"
S 3.437 3.437 0.000
S 3.437 6.874 3.511
La 4.853 1.718 1.756
La 5.155 5.457 5.267
La 8.592 8.290 5.267
La 2.021 5.155 1.756
Bi 6.874 3.437 3.511
Bi 0.000 0.000 0.000
```

Properties
crystal system = tetragonal
magnetization = 0.2500 μB/atom
energy = -5.55 eV/atom
ΔE_f (raw) = -1086 meV per atom
density = 5.2 g/cm3